# GGA-PBE Cs2FeSnCl6, optimized geometry
# E	-3.832	eV/atom
# crystal system	cubic
data_Cs2FeSnCl6
_chemical_formula_sum 'Cs2 Fe1 Sn1 Cl6'
_cell_length_a 7.475
_cell_length_b 7.475
_cell_length_c 7.475
_cell_angle_alpha 60.00
_cell_angle_beta 60.00
_cell_angle_gamma 60.00
_space_group_name_H-M_alt 'P 1'
_space_group_IT_number 1
loop_
_space_group_symop_operation_xyz
'x,y,z'
loop_
_atom_site_label
_atom_site_type_symbol
_atom_site_fract_x
_atom_site_fract_y
_atom_site_fract_z
Cs1 Cs 0.250 0.250 0.250
Cs2 Cs 0.750 0.750 0.750
Fe1 Fe 0.000 0.000 0.000
Sn1 Sn 0.500 0.500 0.500
Cl1 Cl 0.234 0.234 0.766
Cl2 Cl 0.234 0.766 0.234
Cl3 Cl 0.234 0.766 0.766
Cl4 Cl 0.766 0.234 0.234
Cl5 Cl 0.766 0.234 0.766
Cl6 Cl 0.766 0.766 0.234